[1]
A plane-wave DFT calculation with GGA-PBE was carried out for an optimized crystal structure of InSbTe2.

```
InSbTe2
1.0
3.1709 0.0801 0.0000
-0.7276 3.0874 0.0000
0.0000 0.0000 11.8497
In Sb Te
1 1 2
direct
0.0000 0.0000 0.5098
0.5000 0.5000 0.7351
0.0000 0.0000 0.9825
0.5000 0.5000 0.2726
```

Summary:
- Crystal system: orthorhombic

[2]
A plane-wave DFT calculation with GGA-PBE was carried out for an optimized crystal structure of InSbTe2.

```
InSbTe2
1.0
4.5074 0.0000 0.0000
0.0000 4.5014 0.0000
0.0000 0.0000 6.4106
Sb Te In
1 2 1
direct
0.5000 0.5000 0.9062
0.0000 0.0000 0.8679
0.5000 0.5000 0.3539
0.0000 0.0000 0.3720
```

Summary:
- Crystal system: tetragonal

Number 1: ρ 7.00 g/cm³, formation energy from raw total energies 15 kJ per mole of atoms. Number 2: ρ 6.28 g/cm³, formation energy from raw total energies -14 kJ per mole of atoms.